# 1
This record from Alexandria describes a geometry-optimized CsNaHgBi2 structure. The functional is GGA-PBE.

abc: 8.072 8.072 8.072
angles: 144.41 140.13 54.50
Fractional coordinates of all 5 atoms:
Cs 0.000 0.000 0.000
Na 0.235 0.735 0.500
Hg 0.388 0.388 0.000
Bi 0.616 0.616 0.000
Bi 0.754 0.254 0.500

Output
* formation energy from the elements: -0.269 eV/atom
* space-group type: Imm2


# 2
This record from Alexandria describes a geometry-optimized CsNaHg2Bi2 structure. The functional is GGA-PBE.

abc: 5.034 5.034 10.044
angles: 90.00 90.00 120.00
Fractional coordinates of all 6 atoms:
Cs 0.000 0.000 0.000
Na 0.000 0.000 0.500
Hg 0.333 0.667 0.341
Hg 0.667 0.333 0.659
Bi 0.333 0.667 0.721
Bi 0.667 0.333 0.279

Output
* formation energy from the elements: -0.267 eV/atom
* space-group type: P-3m1


# 3
This record from Alexandria describes a geometry-optimized Cs2Na3Hg12Bi structure. The functional is GGA-PBE.

abc: 12.463 12.463 12.463
angles: 36.50 36.50 36.50
Fractional coordinates of all 18 atoms:
Cs 0.151 0.151 0.151
Cs 0.849 0.849 0.849
Na 0.000 0.500 0.500
Na 0.500 0.000 0.500
Na 0.500 0.500 0.000
Hg 0.079 0.079 0.692
Hg 0.079 0.692 0.079
Hg 0.131 0.576 0.576
Hg 0.308 0.921 0.921
Hg 0.424 0.424 0.869
Hg 0.424 0.869 0.424
Hg 0.576 0.131 0.576
Hg 0.576 0.576 0.131
Hg 0.692 0.079 0.079
Hg 0.869 0.424 0.424
Hg 0.921 0.308 0.921
Hg 0.921 0.921 0.308
Bi 0.500 0.500 0.500

Output
* formation energy from the elements: -0.146 eV/atom
* space-group type: R-3m


# 4
This record from Alexandria describes a geometry-optimized Cs2NaHg3Bi4 structure. The functional is GGA-PBE.

abc: 5.271 5.271 12.902
angles: 90.00 90.00 90.00
Fractional coordinates of all 10 atoms:
Cs 0.000 0.500 0.248
Cs 0.500 0.000 0.752
Na 0.500 0.500 0.000
Hg 0.000 0.000 0.000
Hg 0.000 0.500 0.639
Hg 0.500 0.000 0.361
Bi 0.000 0.000 0.500
Bi 0.000 0.500 0.868
Bi 0.500 0.000 0.132
Bi 0.500 0.500 0.500

Output
* formation energy from the elements: -0.228 eV/atom
* space-group type: P-4m2


# 5
This record from Alexandria describes a geometry-optimized CsNaHgBi structure. The functional is GGA-PBE.

abc: 5.857 5.857 5.857
angles: 60.00 60.00 60.00
Fractional coordinates of all 4 atoms:
Cs 0.000 0.000 0.000
Na 0.250 0.250 0.250
Hg 0.750 0.750 0.750
Bi 0.500 0.500 0.500

Output
* formation energy from the elements: -0.196 eV/atom
* energy above the most stable polymorph in this dataset: 0.0125 eV/atom
* space-group type: F-43m


# 6
This record from Alexandria describes a geometry-optimized CsNa2Hg2Bi2 structure. The functional is GGA-PBE.

abc: 10.935 10.935 10.935
angles: 28.10 28.10 28.10
Fractional coordinates of all 7 atoms:
Cs 0.000 0.000 0.000
Na 0.138 0.138 0.138
Na 0.862 0.862 0.862
Hg 0.431 0.431 0.431
Hg 0.569 0.569 0.569
Bi 0.244 0.244 0.244
Bi 0.756 0.756 0.756

Output
* formation energy from the elements: -0.297 eV/atom
* space-group type: R-3m


# 7
This record from Alexandria describes a geometry-optimized CsNaHgBi structure. The functional is GGA-PBE.

abc: 6.362 6.362 6.171
angles: 108.00 108.00 46.80
Fractional coordinates of all 4 atoms:
Cs 0.000 0.000 0.000
Na 0.648 0.648 0.629
Hg 0.752 0.752 0.210
Bi 0.337 0.337 0.481

Output
* formation energy from the elements: -0.209 eV/atom
* energy above the most stable polymorph in this dataset: 0.0000 eV/atom
* space-group type: Cm


# 8
This record from Alexandria describes a geometry-optimized Cs2Na4HgBi2 structure. The functional is GGA-PBE.

abc: 9.069 9.069 5.725
angles: 107.68 107.68 55.12
Fractional coordinates of all 9 atoms:
Cs 0.130 0.130 0.135
Cs 0.870 0.870 0.865
Na 0.160 0.559 0.354
Na 0.441 0.840 0.646
Na 0.559 0.160 0.354
Na 0.840 0.441 0.646
Hg 0.500 0.500 0.000
Bi 0.305 0.305 0.803
Bi 0.695 0.695 0.197

Output
* formation energy from the elements: -0.212 eV/atom
* space-group type: C2/m


# 9
This record from Alexandria describes a geometry-optimized Cs2NaHgBi structure. The functional is GGA-PBE.

abc: 7.647 7.647 6.030
angles: 90.00 90.00 90.00
Fractional coordinates of all 5 atoms:
Cs 0.000 0.500 0.000
Cs 0.500 0.000 0.000
Na 0.000 0.000 0.500
Hg 0.500 0.500 0.500
Bi 0.000 0.000 0.000

Output
* formation energy from the elements: -0.182 eV/atom
* space-group type: P4/mmm


# 10
This record from Alexandria describes a geometry-optimized CsNdHg2Bi2 structure. The functional is GGA-PBE.

abc: 5.165 5.165 9.700
angles: 90.00 90.00 120.00
Fractional coordinates of all 6 atoms:
Cs 0.000 0.000 0.000
Nd 0.000 0.000 0.500
Hg 0.333 0.667 0.640
Hg 0.667 0.333 0.360
Bi 0.333 0.667 0.283
Bi 0.667 0.333 0.717

Output
* formation energy from the elements: -0.418 eV/atom
* space-group type: P-3m1


# 11
This record from Alexandria describes a geometry-optimized CsNiHg2Bi structure. The functional is GGA-PBE.

abc: 5.374 5.374 5.229
angles: 90.00 90.00 90.00
Fractional coordinates of all 5 atoms:
Cs 0.000 0.000 0.000
Ni 0.500 0.500 0.500
Hg 0.000 0.500 0.500
Hg 0.500 0.000 0.500
Bi 0.500 0.500 0.000

Output
* formation energy from the elements: -0.033 eV/atom
* space-group type: P4/mmm


# 12
This record from Alexandria describes a geometry-optimized Cs2HgBi2Pb2 structure. The functional is GGA-PBE.

abc: 8.111 8.111 8.964
angles: 115.27 115.27 36.78
Fractional coordinates of all 7 atoms:
Cs 0.095 0.095 0.359
Cs 0.905 0.905 0.641
Hg 0.500 0.500 0.000
Bi 0.365 0.365 0.264
Bi 0.635 0.635 0.736
Pb 0.274 0.274 0.870
Pb 0.726 0.726 0.130

Output
* formation energy from the elements: -0.221 eV/atom
* space-group type: C2/m


Repeat the eleventh record exactly.
This record from Alexandria describes a geometry-optimized CsNiHg2Bi structure. The functional is GGA-PBE.

abc: 5.374 5.374 5.229
angles: 90.00 90.00 90.00
Fractional coordinates of all 5 atoms:
Cs 0.000 0.000 0.000
Ni 0.500 0.500 0.500
Hg 0.000 0.500 0.500
Hg 0.500 0.000 0.500
Bi 0.500 0.500 0.000

Output
* formation energy from the elements: -0.033 eV/atom
* space-group type: P4/mmm


> Look up the formation energy from the elements of the eighth one.

-0.212 eV/atom